Entry 1:
KSrZr2, optimized geometry, DFT PBE; distance to the lowest polymorph of the same formula = 0.840 eV/atom; calculated formation energy = 1.246 eV per atom; symmetry = Fm-3m
1.0
8.0759 0.0000 0.0000
0.0000 8.0759 0.0000
0.0000 0.0000 8.0759
K Sr Zr
4 4 8
Direct
0.0000 0.0000 0.0000
0.0000 0.5000 0.5000
0.5000 0.0000 0.5000
0.5000 0.5000 0.0000
0.0000 0.0000 0.5000
0.0000 0.5000 0.0000
0.5000 0.0000 0.0000
0.5000 0.5000 0.5000
0.2500 0.2500 0.2500
0.2500 0.2500 0.7500
0.2500 0.7500 0.2500
0.2500 0.7500 0.7500
0.7500 0.2500 0.2500
0.7500 0.2500 0.7500
0.7500 0.7500 0.2500
0.7500 0.7500 0.7500

---

Entry 2:
Ce3AgHg2, optimized geometry, DFT PBE; calculated formation energy = -0.206 eV per atom; symmetry = P4/mmm
1.0
3.9223 0.0000 0.0000
0.0000 3.9223 0.0000
0.0000 0.0000 10.5771
Ce Ag Hg
3 1 2
Direct
0.0000 0.0000 0.0000
0.0000 0.0000 0.3404
0.0000 0.0000 0.6596
0.5000 0.5000 0.5000
0.5000 0.5000 0.1710
0.5000 0.5000 0.8290

---

Entry 3:
NbV2Te6, optimized geometry, DFT PBE; distance to the lowest polymorph of the same formula = 0.310 eV/atom; ΔE_f (raw) = -0.066 eV per atom; symmetry = C2/m
1.0
6.4248 -2.5148 0.0000
6.4248 2.5148 0.0000
-4.3844 0.0000 8.2835
Nb V Te
1 2 6
Direct
0.0000 0.0000 0.0000
0.1591 0.1591 0.5837
0.8409 0.8409 0.4163
0.0238 0.0238 0.7233
0.3050 0.3050 0.4391
0.3573 0.3573 0.8796
0.6427 0.6427 0.1204
0.6950 0.6950 0.5609
0.9762 0.9762 0.2767

---

Entry 4:
Y5Ge2Te2, optimized geometry, DFT PBE; ΔE_f (raw) = -1.079 eV per atom; symmetry = Cmce
1.0
7.6179 -3.9384 0.0000
7.6179 3.9384 0.0000
0.0000 0.0000 7.9121
Y Ge Te
10 4 4
Direct
0.0000 0.0000 0.0000
0.0356 0.7129 0.6622
0.2129 0.5356 0.1622
0.2871 0.9644 0.6622
0.4644 0.7871 0.1622
0.5000 0.5000 0.5000
0.5356 0.2129 0.8378
0.7129 0.0356 0.3378
0.7871 0.4644 0.8378
0.9644 0.2871 0.3378
0.1418 0.8582 0.3604
0.3582 0.6418 0.8604
0.6418 0.3582 0.1396
0.8582 0.1418 0.6396
0.2042 0.2042 0.0000
0.2958 0.2958 0.5000
0.7042 0.7042 0.5000
0.7958 0.7958 0.0000

---

Entry 5:
La3Ho8Th, optimized geometry, DFT PBE; calculated formation energy = 0.620 eV per atom; symmetry = I-42m
1.0
-4.4192 4.4192 5.6550
4.4192 -4.4192 5.6550
4.4192 4.4192 -5.6550
La Ho Th
3 8 1
Direct
0.0000 0.0000 0.0000
0.2500 0.7500 0.5000
0.7500 0.2500 0.5000
0.1255 0.3718 0.0000
0.2327 0.7458 0.0000
0.2542 0.2542 0.4869
0.3718 0.1255 0.0000
0.6282 0.6282 0.7536
0.7458 0.2327 0.0000
0.7673 0.7673 0.5131
0.8745 0.8745 0.2464
0.5000 0.5000 0.0000

---

Entry 6:
TmInPbCl6, optimized geometry, DFT PBE; ΔE_f (raw) = -1.603 eV per atom; symmetry = P-31c
1.0
7.2896 0.0000 0.0000
-3.6448 6.3130 0.0000
0.0000 0.0000 13.4163
Tm In Pb Cl
2 2 2 12
Direct
0.3333 0.6667 0.2500
0.6667 0.3333 0.7500
0.0000 0.0000 0.0000
0.0000 0.0000 0.5000
0.3333 0.6667 0.7500
0.6667 0.3333 0.2500
0.0305 0.3821 0.1374
0.0305 0.6484 0.3626
0.3516 0.3821 0.3626
0.3516 0.9695 0.1374
0.3821 0.0305 0.6374
0.3821 0.3516 0.8626
0.6179 0.6484 0.1374
0.6179 0.9695 0.3626
0.6484 0.0305 0.8626
0.6484 0.6179 0.6374
0.9695 0.3516 0.6374
0.9695 0.6179 0.8626

---

Entry 7:
TmUSbN2, optimized geometry, DFT PBE; ΔE_f (raw) = -1.338 eV per atom; symmetry = I4mm
1.0
3.8940 0.0000 0.0000
0.0000 3.8940 0.0000
0.0000 0.0000 12.1491
Tm U Sb N
2 2 2 4
Direct
0.0000 0.0000 0.0000
0.5000 0.5000 0.5000
0.0000 0.0000 0.3266
0.5000 0.5000 0.8266
0.0000 0.0000 0.6661
0.5000 0.5000 0.1661
0.0000 0.5000 0.4026
0.0000 0.5000 0.9026
0.5000 0.0000 0.4026
0.5000 0.0000 0.9026

---

Entry 8:
FeNi2Rh8, optimized geometry, DFT PBE; calculated formation energy = 0.212 eV per atom; symmetry = Cmmm
1.0
3.8788 -4.9413 0.0000
3.8788 4.9413 0.0000
0.0000 0.0000 4.0577
Fe Ni Rh
1 2 8
Direct
0.0000 0.0000 0.0000
0.3830 0.6170 0.5000
0.6170 0.3830 0.5000
0.0340 0.2999 0.5000
0.2537 0.7463 0.0000
0.2999 0.0340 0.5000
0.3317 0.3317 0.0000
0.6683 0.6683 0.0000
0.7001 0.9660 0.5000
0.7463 0.2537 0.0000
0.9660 0.7001 0.5000

---

Entry 9:
HfTiSn2, optimized geometry, DFT PBE; distance to the lowest polymorph of the same formula = 0.204 eV/atom; calculated formation energy = -0.009 eV per atom; symmetry = I-42d
1.0
7.7112 0.0000 0.0000
0.0000 7.7112 0.0000
0.0000 0.0000 6.0944
Hf Ti Sn
4 4 8
Direct
0.0000 0.0000 0.0000
0.0000 0.5000 0.2500
0.5000 0.0000 0.7500
0.5000 0.5000 0.5000
0.0000 0.0000 0.5000
0.0000 0.5000 0.7500
0.5000 0.0000 0.2500
0.5000 0.5000 0.0000
0.2377 0.7500 0.6250
0.2500 0.2377 0.3750
0.2500 0.2623 0.8750
0.2623 0.7500 0.1250
0.7377 0.2500 0.1250
0.7500 0.7377 0.8750
0.7500 0.7623 0.3750
0.7623 0.2500 0.6250

---

Entry 10:
TlGeI2N, optimized geometry, DFT PBE; distance to the lowest polymorph of the same formula = 0.000 eV/atom; ΔE_f (raw) = 0.249 eV per atom; symmetry = P4/mmm
1.0
6.4731 0.0000 0.0000
0.0000 6.4731 0.0000
0.0000 0.0000 3.5456
Tl Ge I N
1 1 2 1
Direct
0.0000 0.0000 0.0000
0.5000 0.5000 0.5000
0.0000 0.5000 0.5000
0.5000 0.0000 0.5000
0.5000 0.5000 0.0000

---

Entry 11:
TbTiTl2O6, optimized geometry, DFT PBE; ΔE_f (raw) = -2.001 eV per atom; symmetry = R3
1.0
2.8474 1.6440 5.0058
-2.8474 1.6440 5.0058
0.0000 -3.2879 5.0058
Tb Ti Tl O
1 1 2 6
Direct
0.0000 0.0000 0.0000
0.4980 0.4980 0.4980
0.2690 0.2690 0.2690
0.7770 0.7770 0.7770
0.1331 0.6982 0.3835
0.2355 0.6411 0.8039
0.3835 0.1331 0.6982
0.6411 0.8039 0.2355
0.6982 0.3835 0.1331
0.8039 0.2355 0.6411

---

Entry 12:
La2EuGe, optimized geometry, DFT PBE; distance to the lowest polymorph of the same formula = 0.053 eV/atom; calculated formation energy = -0.307 eV per atom; symmetry = R-3m
1.0
4.2560 0.0000 0.0000
-2.1280 3.6858 0.0000
0.0000 0.0000 29.6946
La Eu Ge
6 3 3
Direct
0.0000 0.0000 0.2247
0.0000 0.0000 0.7753
0.3333 0.6667 0.4420
0.3333 0.6667 0.8913
0.6667 0.3333 0.1087
0.6667 0.3333 0.5580
0.0000 0.0000 0.0000
0.3333 0.6667 0.6667
0.6667 0.3333 0.3333
0.0000 0.0000 0.5000
0.3333 0.6667 0.1667
0.6667 0.3333 0.8333

---

| no. | DOS at the Fermi energy (states/eV per atom) |
| --- | --- |
| 1 | 2.332 |
| 2 | 3.729 |
| 3 | 0.614 |
| 4 | 0.931 |
| 5 | 1.518 |
| 6 | 0.000 |
| 7 | 0.331 |
| 8 | 1.737 |
| 9 | 0.135 |
| 10 | 0.156 |
| 11 | 0.277 |
| 12 | 1.111 |